# 1
# AlCuSb2

A crystal of AlCuSb2 relaxed with PBEsol (meta-GGA SCAN, Alexandria).

Unit cell a=3.248 b=3.248 c=7.663 alpha=90.00 beta=90.00 gamma=90.00
Element x y z (fractional)
Al1 0.000 0.000 0.000
Cu1 0.000 0.000 0.500
Sb1 0.500 0.500 0.273
Sb2 0.500 0.500 0.727

Output
Symmetry: P4/mmm
Energy relative to the lowest polymorph listed for this composition (kJ per mole of atoms): 17.9
Formation energy without anion corrections (eV per atom): 0.29

# 2
# Al4CuSb

A crystal of Al4CuSb relaxed with PBEsol (meta-GGA SCAN, Alexandria).

Unit cell a=5.332 b=5.332 c=5.332 alpha=60.00 beta=60.00 gamma=60.00
Element x y z (fractional)
Al1 0.124 0.124 0.124
Al2 0.124 0.124 0.628
Al3 0.124 0.628 0.124
Al4 0.628 0.124 0.124
Cu1 0.750 0.750 0.750
Sb1 0.500 0.500 0.500

Output
Symmetry: F-43m
Formation energy without anion corrections (eV per atom): 0.31

# 3
# AlCuSb2

A crystal of AlCuSb2 relaxed with PBEsol (meta-GGA SCAN, Alexandria).

Unit cell a=3.893 b=4.075 c=5.155 alpha=90.00 beta=90.00 gamma=90.00
Element x y z (fractional)
Al1 0.000 0.000 0.000
Cu1 0.000 0.500 0.500
Sb1 0.500 0.000 0.500
Sb2 0.500 0.500 0.000

Output
Symmetry: Pmmm
Energy relative to the lowest polymorph listed for this composition (kJ per mole of atoms): 21.5
Formation energy without anion corrections (eV per atom): 0.33

# 4
# ScAlCu

A crystal of ScAlCu relaxed with PBEsol (meta-GGA SCAN, Alexandria).

Unit cell a=4.251 b=4.251 c=4.251 alpha=60.00 beta=60.00 gamma=60.00
Element x y z (fractional)
Sc1 0.000 0.000 0.000
Al1 0.500 0.500 0.500
Cu1 0.250 0.250 0.250

Output
Symmetry: F-43m
E_form (meV per atom): -317

# 5
# ScAl2Cu

A crystal of ScAl2Cu relaxed with PBEsol (meta-GGA SCAN, Alexandria).

Unit cell a=4.126 b=5.476 c=5.476 alpha=31.89 beta=90.00 gamma=90.00
Element x y z (fractional)
Sc1 0.000 0.000 0.000
Al1 0.000 0.736 0.736
Al2 0.500 0.343 0.343
Cu1 0.500 0.608 0.608

Output
Symmetry: Amm2
E_form (meV per atom): -275

# 6
# ScAlCu

A crystal of ScAlCu relaxed with PBEsol (meta-GGA SCAN, Alexandria).

Unit cell a=4.273 b=4.273 c=3.139 alpha=90.00 beta=90.00 gamma=120.00
Element x y z (fractional)
Sc1 0.000 0.000 0.000
Al1 0.667 0.333 0.500
Cu1 0.333 0.667 0.500

Output
Symmetry: P-6m2
E_form (meV per atom): -453